Crystalline ZnCoI2O at its relaxed geometry, computed with PBE+U.

The structure belongs to space group P4/mmm (No. 123); the cell edges are 5.680, 5.680 and 3.614 Å and the angles 90.00°, 90.00° and 90.00°. Symmetry generates all atoms from Zn at (0.000, 0.000, 0.000), Co at (0.500, 0.500, 0.500), I at (0.000, 0.500, 0.500) and O at (0.500, 0.500, 0.000).

The calculation puts the final energy at -14.78 eV per cell. As for the density of states at the Fermi level: 0.73 states/eV/atom.



Crystalline ZnCoI2O at its relaxed geometry, computed with PBE+U.

The structure belongs to space group P4/mmm (No. 123); the cell edges are 5.694, 5.694 and 3.703 Å and the angles 90.00°, 90.00° and 90.00°. Symmetry generates all atoms from Zn at (0.000, 0.000, 0.000), Co at (0.500, 0.500, 0.500), I at (0.000, 0.500, 0.000) and O at (0.000, 0.000, 0.500).

The calculation puts the final energy at -13.45 eV per cell. As for the density of states at the Fermi level: 1.47 states/eV/atom.



Values for relative energy among the computed polymorphs, meV per atom, ordered as above
0 267